Entry from the Alexandria database: NaCa2ScS4 after structural relaxation (PBE).

Properties
Formation energy from raw total energies = -1.88 eV per atom
Volume = 172.1 Å³/cell
DFT total energy = -5.3974 eV/atom
Crystal system = monoclinic

Cell and atoms, written as CIF:
```
data_NaCa2ScS4
_cell_length_a 6.729
_cell_length_b 3.936
_cell_length_c 6.853
_cell_angle_alpha 90.00
_cell_angle_beta 108.50
_cell_angle_gamma 90.00
_symmetry_space_group_name_H-M 'P 1 2/m 1'
_symmetry_Int_Tables_number 10
loop_
_symmetry_equiv_pos_as_xyz
'x,y,z'
'-x,-y,-z'
'-x,y,-z'
'x,-y,z'
loop_
_atom_site_label
_atom_site_type_symbol
_atom_site_fract_x
_atom_site_fract_y
_atom_site_fract_z
Na1 Na 0.000 0.000 0.000
Ca1 Ca 0.500 0.000 0.500
Ca2 Ca 0.500 0.500 0.000
Sc1 Sc 0.000 0.500 0.500
S1 S 0.232 0.000 0.732
S2 S 0.240 0.500 0.267
```